(1)
Here is a relaxed structure of RbCuSb2W from Alexandria via LeMat-Bulk. Energies are from PBE-GGA.

Computed properties:
Magnetic moment (Bohr magnetons per cell): 3.6
Space group: P4/mmm, No. 123
Raw formation energy (eV per formula unit): 5.2
Raw total energy (eV per formula unit): -21.1

abc: 5.2466 5.2466 5.0686
angles: 90.00 90.00 90.00
With the nearest neighbours (Å) after each atom.
Element x y z (fractional)
1 Rb 0.0000 0.0000 0.0000  8 Sb 3.65, 4 W 3.71
2 Cu 0.5000 0.5000 0.5000  2 W 2.53, 4 Sb 2.62
3 Sb 0.0000 0.5000 0.5000  2 Cu 2.62
4 Sb 0.5000 0.0000 0.5000  2 Cu 2.62
5 W 0.5000 0.5000 0.0000  2 Cu 2.53

(2)
Here is a relaxed structure of InCuCl from Alexandria via LeMat-Bulk. Energies are from PBE-GGA.

Computed properties:
Magnetic moment (Bohr magnetons per cell): 0.0
Distance to the lowest polymorph of the same formula (meV per atom): 68
Space group: Fmm2, No. 42
Raw formation energy (eV per formula unit): -0.5
Raw total energy (eV per formula unit): -9.1

abc: 3.8204 5.8545 11.9692
angles: 90.00 90.00 90.00
With the nearest neighbours (Å) after each atom.
Element x y z (fractional)
1 In 0.0000 0.0000 0.0000  2 Cu 2.68
2 In 0.0000 0.5000 0.5000  2 Cu 2.68
3 In 0.5000 0.0000 0.5000  2 Cu 2.68
4 In 0.5000 0.5000 0.0000  2 Cu 2.68
5 Cu 0.0000 0.0000 0.6570  2 Cl 2.35
6 Cu 0.0000 0.5000 0.1570  2 Cl 2.35
7 Cu 0.5000 0.0000 0.1570  2 Cl 2.35
8 Cu 0.5000 0.5000 0.6570  2 Cl 2.35
9 Cl 0.0000 0.0000 0.2707  2 Cu 2.35
10 Cl 0.0000 0.5000 0.7707  2 Cu 2.35
11 Cl 0.5000 0.0000 0.7707  2 Cu 2.35
12 Cl 0.5000 0.5000 0.2707  2 Cu 2.35

(3)
Here is a relaxed structure of Pr6ErSc from Alexandria via LeMat-Bulk. Energies are from PBE-GGA.

Computed properties:
Magnetic moment (Bohr magnetons per cell): 0.0
Space group: P4/mmm, No. 123
DFT formation energy (eV per atom): 0.03
Raw total energy (eV per formula unit): -39.4

abc: 5.1297 5.1297 10.2673
angles: 90.00 90.00 90.00
With the nearest neighbours (Å) after each atom.
Element x y z (fractional)
1 Pr 0.0000 0.0000 0.0000  8 Pr 3.60, 4 Sc 3.63
2 Pr 0.0000 0.0000 0.5000  4 Er 3.63, 8 Pr 3.66
3 Pr 0.0000 0.5000 0.2459  2 Sc 3.60, 8 Pr 3.60-3.66, 2 Er 3.66
4 Pr 0.0000 0.5000 0.7541  2 Sc 3.60, 8 Pr 3.60-3.66, 2 Er 3.66
5 Pr 0.5000 0.0000 0.2459  2 Sc 3.60, 8 Pr 3.60-3.66, 2 Er 3.66
6 Pr 0.5000 0.0000 0.7541  2 Sc 3.60, 8 Pr 3.60-3.66, 2 Er 3.66
7 Er 0.5000 0.5000 0.5000  12 Pr 3.63-3.66
8 Sc 0.5000 0.5000 0.0000  12 Pr 3.60-3.63

(4)
Here is a relaxed structure of TlRhF2 from Alexandria via LeMat-Bulk. Energies are from PBE-GGA.

Computed properties:
Magnetic moment (Bohr magnetons per cell): 8.0
Distance to the lowest polymorph of the same formula (meV per atom): 255
Space group: Fm-3m, No. 225
Raw formation energy (eV per formula unit): -2.7
Raw total energy (eV per formula unit): -16.1

abc: 6.2982 6.2982 6.2982
angles: 90.00 90.00 90.00
With the nearest neighbours (Å) after each atom.
Element x y z (fractional)
1 Tl 0.0000 0.0000 0.0000  8 F 2.73
2 Tl 0.0000 0.5000 0.5000  8 F 2.73
3 Tl 0.5000 0.0000 0.5000  8 F 2.73
4 Tl 0.5000 0.5000 0.0000  8 F 2.73
5 Rh 0.0000 0.0000 0.5000  8 F 2.73
6 Rh 0.0000 0.5000 0.0000  8 F 2.73
7 Rh 0.5000 0.0000 0.0000  8 F 2.73
8 Rh 0.5000 0.5000 0.5000  8 F 2.73
9 F 0.2500 0.2500 0.2500  4 Tl 2.73, 4 Rh 2.73
10 F 0.2500 0.2500 0.7500  4 Tl 2.73, 4 Rh 2.73
11 F 0.2500 0.7500 0.2500  4 Tl 2.73, 4 Rh 2.73
12 F 0.2500 0.7500 0.7500  4 Tl 2.73, 4 Rh 2.73
13 F 0.7500 0.2500 0.2500  4 Tl 2.73, 4 Rh 2.73
14 F 0.7500 0.2500 0.7500  4 Tl 2.73, 4 Rh 2.73
15 F 0.7500 0.7500 0.2500  4 Tl 2.73, 4 Rh 2.73
16 F 0.7500 0.7500 0.7500  4 Tl 2.73, 4 Rh 2.73

(5)
Here is a relaxed structure of NaCaCd2 from Alexandria via LeMat-Bulk. Energies are from PBE-GGA.

Computed properties:
Magnetic moment (Bohr magnetons per cell): 0.0
Distance to the lowest polymorph of the same formula (meV per atom): 77
Space group: Cmcm, No. 63
DFT formation energy (eV per atom): -0.12
Raw total energy (eV per formula unit): -5.6

abc: 5.3779 10.1306 8.3694
angles: 90.00 90.00 90.00
With the nearest neighbours (Å) after each atom.
Element x y z (fractional)
1 Na 0.0000 0.0898 0.2500  6 Cd 3.14-3.51, 3 Ca 3.22-3.30
2 Na 0.0000 0.9102 0.7500  6 Cd 3.14-3.51, 3 Ca 3.22-3.30
3 Na 0.5000 0.4102 0.7500  6 Cd 3.14-3.51, 3 Ca 3.22-3.30
4 Na 0.5000 0.5898 0.2500  6 Cd 3.14-3.51, 3 Ca 3.22-3.30
5 Ca 0.0000 0.4159 0.2500  3 Na 3.22-3.30, 6 Cd 3.30-3.42
6 Ca 0.0000 0.5841 0.7500  3 Na 3.22-3.30, 6 Cd 3.30-3.42
7 Ca 0.5000 0.0841 0.7500  3 Na 3.22-3.30, 6 Cd 3.30-3.42
8 Ca 0.5000 0.9159 0.2500  3 Na 3.22-3.30, 6 Cd 3.30-3.42
9 Cd 0.0000 0.2378 0.5802  3 Cd 2.84-3.02, 1 Na 3.14
10 Cd 0.0000 0.2378 0.9198  3 Cd 2.84-3.02, 1 Na 3.14
11 Cd 0.0000 0.7622 0.0802  3 Cd 2.84-3.02, 1 Na 3.14
12 Cd 0.0000 0.7622 0.4198  3 Cd 2.84-3.02, 1 Na 3.14
13 Cd 0.5000 0.2622 0.0802  3 Cd 2.84-3.02, 1 Na 3.14
14 Cd 0.5000 0.2622 0.4198  3 Cd 2.84-3.02, 1 Na 3.14
15 Cd 0.5000 0.7378 0.5802  3 Cd 2.84-3.02, 1 Na 3.14
16 Cd 0.5000 0.7378 0.9198  3 Cd 2.84-3.02, 1 Na 3.14

(6)
Here is a relaxed structure of Li2AlRe from Alexandria via LeMat-Bulk. Energies are from PBE-GGA.

Computed properties:
Magnetic moment (Bohr magnetons per cell): 0.0
Space group: Cmm2, No. 35
DFT formation energy (eV per atom): 0.01
Raw total energy (eV per formula unit): -20.0

abc: 3.1912 4.2807 9.0467
angles: 90.00 90.00 90.00
With the nearest neighbours (Å) after each atom.
Element x y z (fractional)
1 Li 0.0000 0.0000 0.0000  4 Li 2.67, 2 Re 2.71
2 Li 0.0000 0.5000 0.2849  4 Li 2.67, 2 Al 2.70
3 Li 0.5000 0.0000 0.2849  4 Li 2.67, 2 Al 2.70
4 Li 0.5000 0.5000 0.0000  4 Li 2.67, 2 Re 2.71
5 Al 0.0000 0.0000 0.5256  2 Re 2.64, 4 Al 2.67, 2 Li 2.70
6 Al 0.5000 0.5000 0.5256  2 Re 2.64, 4 Al 2.67, 2 Li 2.70
7 Re 0.0000 0.5000 0.7582  2 Al 2.64, 4 Re 2.67, 2 Li 2.71
8 Re 0.5000 0.0000 0.7582  2 Al 2.64, 4 Re 2.67, 2 Li 2.71

(7)
Here is a relaxed structure of Ca3HoHg4 from Alexandria via LeMat-Bulk. Energies are from PBE-GGA.

Computed properties:
Magnetic moment (Bohr magnetons per cell): 0.0
Space group: P4/mmm, No. 123
DFT formation energy (eV per atom): -0.54
Raw total energy (eV per formula unit): -16.1

abc: 3.7660 3.7660 15.0464
angles: 90.00 90.00 90.00
With the nearest neighbours (Å) after each atom.
Element x y z (fractional)
1 Ca 0.0000 0.0000 0.0000  8 Hg 3.27
2 Ca 0.0000 0.0000 0.2529  8 Hg 3.27-3.30
3 Ca 0.0000 0.0000 0.7471  8 Hg 3.27-3.30
4 Ho 0.0000 0.0000 0.5000  8 Hg 3.19
5 Hg 0.5000 0.5000 0.1263  8 Ca 3.27
6 Hg 0.5000 0.5000 0.3830  4 Ho 3.19, 4 Ca 3.30, 1 Hg 3.52
7 Hg 0.5000 0.5000 0.6170  4 Ho 3.19, 4 Ca 3.30, 1 Hg 3.52
8 Hg 0.5000 0.5000 0.8737  8 Ca 3.27

(8)
Here is a relaxed structure of CdNi2As from Alexandria via LeMat-Bulk. Energies are from PBE-GGA.

Computed properties:
Magnetic moment (Bohr magnetons per cell): 0.0
Distance to the lowest polymorph of the same formula (meV per atom): 32
Space group: Imm2, No. 44
DFT formation energy (eV per atom): -0.02
Raw total energy (eV per formula unit): -17.2

abc: 2.9034 3.5695 12.3013
angles: 90.00 90.00 90.00
With the nearest neighbours (Å) after each atom.
Element x y z (fractional)
1 Cd 0.0000 0.0000 0.0000  6 Ni 2.77-2.80, 2 Cd 2.90
2 Cd 0.5000 0.5000 0.5000  6 Ni 2.77-2.80, 2 Cd 2.90
3 Ni 0.0000 0.0000 0.3699  2 As 2.34
4 Ni 0.0000 0.5000 0.6919  4 As 2.40, 2 Ni 2.63
5 Ni 0.5000 0.0000 0.1919  4 As 2.40, 2 Ni 2.63
6 Ni 0.5000 0.5000 0.8699  2 As 2.34
7 As 0.0000 0.5000 0.2465  6 Ni 2.34-2.40
8 As 0.5000 0.0000 0.7465  6 Ni 2.34-2.40